[1]
The following is a DFT calculation (PBE) of an optimized crystal structure of Cd4As2Cl3.

Cell and atoms, written as extended XYZ:
```
72
Lattice="12.7040 0.0000 0.0000 0.0000 12.7040 0.0000 0.0000 0.0000 12.7040" Properties=species:S:1:pos:R:3 pbc="T T T"
Cd 0.2414 3.1155 6.6738
Cd 0.2414 3.2365 0.3218
Cd 0.3218 0.2414 3.2365
Cd 0.3218 6.1106 9.5885
Cd 2.8392 9.1912 9.8648
Cd 2.8392 9.8648 3.5128
Cd 3.1155 6.6738 0.2414
Cd 3.1155 12.3822 6.5934
Cd 3.2365 0.3218 0.2414
Cd 3.2365 6.0302 6.5934
Cd 3.5128 2.8392 9.8648
Cd 3.5128 3.5128 3.5128
Cd 6.0302 6.5934 3.2365
Cd 6.0302 12.4626 9.5885
Cd 6.1106 9.4675 6.6738
Cd 6.1106 9.5885 0.3218
Cd 6.5934 3.1155 12.3822
Cd 6.5934 3.2365 6.0302
Cd 6.6738 0.2414 3.1155
Cd 6.6738 6.1106 9.4675
Cd 9.1912 9.1912 9.1912
Cd 9.1912 9.8648 2.8392
Cd 9.4675 6.6738 6.1106
Cd 9.4675 12.3822 12.4626
Cd 9.5885 0.3218 6.1106
Cd 9.5885 6.0302 12.4626
Cd 9.8648 2.8392 9.1912
Cd 9.8648 3.5128 2.8392
Cd 12.3822 6.5934 3.1155
Cd 12.3822 12.4626 9.4675
Cd 12.4626 9.4675 12.3822
Cd 12.4626 9.5885 6.0302
As 0.7015 0.7015 0.7015
As 0.7015 5.6505 7.0535
As 1.3435 7.6955 11.3605
As 1.3435 11.3605 5.0085
As 5.0085 1.3435 11.3605
As 5.0085 5.0085 5.0085
As 5.6505 7.0535 0.7015
As 5.6505 12.0025 7.0535
As 7.0535 0.7015 5.6505
As 7.0535 5.6505 12.0025
As 7.6955 7.6955 7.6955
As 7.6955 11.3605 1.3435
As 11.3605 1.3435 7.6955
As 11.3605 5.0085 1.3435
As 12.0025 7.0535 5.6505
As 12.0025 12.0025 12.0025
Cl 0.9974 2.8574 4.0718
Cl 0.9974 3.4946 10.4238
Cl 2.2802 7.3494 2.8574
Cl 2.2802 11.7066 9.2094
Cl 2.8574 2.2802 7.3494
Cl 2.8574 4.0718 0.9974
Cl 3.4946 8.6322 7.3494
Cl 3.4946 10.4238 0.9974
Cl 4.0718 0.9974 2.8574
Cl 4.0718 5.3546 9.2094
Cl 5.3546 9.2094 4.0718
Cl 5.3546 9.8466 10.4238
Cl 7.3494 2.8574 2.2802
Cl 7.3494 3.4946 8.6322
Cl 8.6322 7.3494 3.4946
Cl 8.6322 11.7066 9.8466
Cl 9.2094 2.2802 11.7066
Cl 9.2094 4.0718 5.3546
Cl 9.8466 8.6322 11.7066
Cl 9.8466 10.4238 5.3546
Cl 10.4238 0.9974 3.4946
Cl 10.4238 5.3546 9.8466
Cl 11.7066 9.2094 2.2802
Cl 11.7066 9.8466 8.6322
```

energy above the most stable polymorph in this dataset = 0.0000 eV/atom
uncorrected formation energy = -0.614 eV/atom



[2]
The following is a DFT calculation (PBE) of an optimized crystal structure of BaHfN2O.

Cell and atoms, written as extended XYZ:
```
5
Lattice="4.3228 0.0000 0.0000 0.0000 4.3228 0.0000 0.0000 0.0000 4.2262" Properties=species:S:1:pos:R:3 pbc="T T T"
Ba 0.0000 0.0000 0.0000
Hf 2.1614 2.1614 2.1131
N 0.0000 2.1614 2.1131
N 2.1614 0.0000 2.1131
O 2.1614 2.1614 0.0000
```

DOS at the Fermi energy = 2.7 states/eV/cell
uncorrected formation energy = -1.342 eV/atom



[3]
The following is a DFT calculation (PBE) of an optimized crystal structure of Pr2AsCl2.

Cell and atoms, written as extended XYZ:
```
5
Lattice="2.1115 1.2191 10.2733 -2.1115 1.2191 10.2733 0.0000 -2.4382 10.2733" Properties=species:S:1:pos:R:3 pbc="T T T"
Pr 0.0000 0.0000 3.4524
Pr 0.0000 0.0000 27.3674
As 0.0000 0.0000 15.4099
Cl 0.0000 0.0000 8.4696
Cl 0.0000 0.0000 22.3503
```

DOS at the Fermi energy = 2.0 states/eV/cell
uncorrected formation energy = -1.898 eV/atom



[4]
The following is a DFT calculation (PBE) of an optimized crystal structure of Ho8Tm6In.

Cell and atoms, written as extended XYZ:
```
15
Lattice="9.0367 0.0000 0.0000 -4.5184 7.8260 0.0000 0.0000 0.0000 6.6351" Properties=species:S:1:pos:R:3 pbc="T T T"
Ho -3.1032 5.4354 0.8172
Ho 1.3628 2.4209 0.8172
Ho 2.7779 0.0302 5.8179
Ho 0.0000 5.2174 5.4284
Ho 4.5184 2.6087 1.2067
Ho 1.7404 7.7958 0.8172
Ho 3.1556 5.4052 5.8179
Ho 7.6216 2.3907 5.8179
Tm -1.1067 3.1355 2.5755
Tm -1.2496 7.2167 2.5755
Tm 2.1621 2.5262 4.0596
Tm 2.3563 5.2999 2.5755
Tm 5.7680 0.6093 4.0596
Tm 5.6250 4.6906 4.0596
In 0.0000 0.0000 3.3175
```

energy relative to the elements = 0.199 eV/atom
energy above the most stable polymorph in this dataset = 0.1698 eV/atom
DOS at the Fermi energy = 21.2 states/eV/cell



[5]
The following is a DFT calculation (PBE) of an optimized crystal structure of BeAgAu4.

Cell and atoms, written as extended XYZ:
```
12
Lattice="6.6645 -3.2110 0.0000 6.6645 3.2110 0.0000 -1.8897 0.0000 4.7363" Properties=species:S:1:pos:R:3 pbc="T T T"
Be -0.5122 0.0000 1.3645
Be 11.9515 0.0000 3.3718
Ag 2.4802 0.0000 3.7905
Ag 8.9592 0.0000 0.9458
Au 4.3767 1.4690 1.8108
Au 2.1019 0.0000 0.8845
Au 6.6645 1.3928 0.0000
Au 7.0626 1.4690 2.9255
Au 4.3767 -1.4690 1.8108
Au 6.6645 -1.3928 0.0000
Au 9.3374 0.0000 3.8518
Au 7.0626 -1.4690 2.9255
```

energy relative to the elements = -0.035 eV/atom
energy above the most stable polymorph in this dataset = 0.0000 eV/atom
DOS at the Fermi energy = 4.6 states/eV/cell



[6]
The following is a DFT calculation (PBE) of an optimized crystal structure of Si4MoP.

Cell and atoms, written as extended XYZ:
```
6
Lattice="0.0000 3.4889 3.4889 3.4889 0.0000 3.4889 3.4889 3.4889 0.0000" Properties=species:S:1:pos:R:3 pbc="T T T"
Si 0.8636 0.8636 0.8636
Si 2.6253 2.6253 0.8636
Si 2.6253 0.8636 2.6253
Si 0.8636 2.6253 2.6253
Mo 3.4889 3.4889 3.4889
P 5.2333 5.2333 5.2333
```

DOS at the Fermi energy = 6.2 states/eV/cell
uncorrected formation energy = 0.536 eV/atom



[7]
The following is a DFT calculation (PBE) of an optimized crystal structure of Sr5Br4.

Cell and atoms, written as extended XYZ:
```
9
Lattice="-7.3649 7.3649 2.1840 7.3649 -7.3649 2.1840 7.3649 7.3649 -2.1840" Properties=species:S:1:pos:R:3 pbc="T T T"
Sr 0.0000 0.0000 0.0000
Sr 4.9676 4.9676 0.0000
Sr 2.3974 -2.3974 2.1840
Sr -2.3974 2.3974 2.1840
Sr 2.3974 2.3974 2.1840
Br 3.1612 0.0000 0.0000
Br 11.5687 0.0000 0.0000
Br 0.0000 3.1612 0.0000
Br 0.0000 11.5687 0.0000
```

energy above the most stable polymorph in this dataset = 0.0000 eV/atom
DOS at the Fermi energy = 2.7 states/eV/cell
uncorrected formation energy = -1.184 eV/atom



[8]
The following is a DFT calculation (PBE) of an optimized crystal structure of RuAuSe2.

Cell and atoms, written as extended XYZ:
```
4
Lattice="-1.5017 2.0472 6.2818 1.5017 -2.0472 6.2818 1.5017 2.0472 -6.2818" Properties=species:S:1:pos:R:3 pbc="T T T"
Ru 0.0000 0.0000 0.0000
Au 0.0000 2.0472 3.6276
Se 1.5017 0.0000 1.9669
Se 0.0000 0.0000 5.5665
```

DOS at the Fermi energy = 3.7 states/eV/cell
uncorrected formation energy = 0.205 eV/atom



[9]
The following is a DFT calculation (PBE) of an optimized crystal structure of Ca8Sn2Pb.

Cell and atoms, written as extended XYZ:
```
11
Lattice="-2.6477 4.2146 7.9461 2.6477 -4.2146 7.9461 2.6477 4.2146 -7.9461" Properties=species:S:1:pos:R:3 pbc="T T T"
Ca 2.6477 2.3618 -2.4515
Ca 0.0000 0.0000 2.4643
Ca 0.0000 2.5727 0.0000
Ca 2.6477 2.3618 2.4515
Ca 0.0000 1.8528 5.4946
Ca 0.0000 5.8565 0.0000
Ca 0.0000 0.0000 13.4278
Ca 0.0000 1.8528 10.3976
Sn 2.6477 0.0000 4.9112
Sn 0.0000 4.2146 3.0349
Pb 2.6477 0.0000 0.0000
```

energy relative to the elements = -0.401 eV/atom
energy above the most stable polymorph in this dataset = 0.0338 eV/atom
DOS at the Fermi energy = 8.7 states/eV/cell



[10]
The following is a DFT calculation (PBE) of an optimized crystal structure of K3FeSi.

Cell and atoms, written as extended XYZ:
```
5
Lattice="6.4086 0.0000 0.0000 0.0000 6.4086 0.0000 0.0000 0.0000 6.4086" Properties=species:S:1:pos:R:3 pbc="T T T"
K 0.0000 0.0000 3.2043
K 0.0000 3.2043 0.0000
K 3.2043 0.0000 0.0000
Fe 3.2043 3.2043 3.2043
Si 0.0000 0.0000 0.0000
```

energy above the most stable polymorph in this dataset = 0.0000 eV/atom
DOS at the Fermi energy = 31.3 states/eV/cell
uncorrected formation energy = 1.045 eV/atom



[11]
The following is a DFT calculation (PBE) of an optimized crystal structure of NdDy2Al6.

Cell and atoms, written as extended XYZ:
```
9
Lattice="-2.2079 3.6146 6.7323 2.2079 -3.6146 6.7323 2.2079 3.6146 -6.7323" Properties=species:S:1:pos:R:3 pbc="T T T"
Nd 0.0000 0.0000 0.0000
Dy 2.2079 0.0000 5.0595
Dy 0.0000 3.6146 1.6729
Al 2.2079 1.4092 -2.4970
Al 2.2079 2.2909 0.0000
Al 2.2079 1.4092 2.4970
Al 0.0000 2.2054 4.2353
Al 0.0000 1.3237 6.7323
Al 0.0000 2.2054 9.2294
```

energy relative to the elements = -0.260 eV/atom
energy above the most stable polymorph in this dataset = 0.2205 eV/atom
DOS at the Fermi energy = 5.0 states/eV/cell



[12]
The following is a DFT calculation (PBE) of an optimized crystal structure of BiSe.

Cell and atoms, written as extended XYZ:
```
16
Lattice="11.3777 0.0000 0.0000 0.0000 5.8089 0.0000 0.0000 0.0000 7.8774" Properties=species:S:1:pos:R:3 pbc="T T T"
Bi 0.6169 1.4522 1.8863
Bi 2.0010 1.4522 4.7058
Bi 3.6879 4.3567 0.7670
Bi 5.0720 4.3567 5.8250
Bi 6.3057 1.4522 2.0525
Bi 7.6898 1.4522 7.1104
Bi 9.3767 4.3567 3.1717
Bi 10.7608 4.3567 5.9912
Se 0.1915 4.3567 1.5231
Se 2.4453 4.3567 4.8031
Se 3.2436 1.4522 0.8644
Se 5.4974 1.4522 5.4618
Se 5.8803 4.3567 2.4156
Se 8.1341 4.3567 7.0131
Se 8.9324 1.4522 3.0743
Se 11.1862 1.4522 6.3543
```

energy above the most stable polymorph in this dataset = 0.1071 eV/atom
DOS at the Fermi energy = 1.6 states/eV/cell
uncorrected formation energy = -0.217 eV/atom



For each record above, in turn, the calculated ρ values are 4.6, 7.6, 4.5, 8.7, 14.8, 4.7, 2.7, 9.8, 3.6, 1.3, 4.9, 7.3 Mg/m³.